[1]
Mn2SiW at its PBEsol-relaxed geometry. Source: the Alexandria database, functional SCAN.

Cell: 2.6559 2.6559 8.2543 Å, 80.74 80.74 60.00°
Atoms (fractional coordinates):
Mn (0.0081, 0.0081, 0.9757)
Mn (0.7480, 0.7480, 0.7559)
Si (0.4928, 0.4928, 0.5217)
W (0.2511, 0.2511, 0.2467)

Summary:
Energy relative to the elements, uncorrected in eV per atom: 0.1574
Symmetry: R3m
Raw total energy in eV/atom: -28.896
Magnetization in μB/cell: 0.3

***

[2]
CrHNF2 at its PBEsol-relaxed geometry. Source: the Alexandria database, functional SCAN.

Cell: 2.6635 4.0532 4.0532 Å, 90.00 90.00 90.00°
Atoms (fractional coordinates):
Cr (0.5000, 0.5000, 0.5000)
N (0.5000, 0.0000, 0.0000)
H (0.0000, 0.0000, 0.0000)
F (0.0000, 0.0000, 0.5000)
F (0.0000, 0.5000, 0.0000)

Summary:
Symmetry: P4/mmm
Raw total energy in eV/atom: -7.874
Magnetization in μB/cell: 6.4

***

[3]
Hf2Si2Pd at its PBEsol-relaxed geometry. Source: the Alexandria database, functional SCAN.

Cell: 3.9866 6.3600 6.3600 Å, 90.00 90.00 90.00°
Atoms (fractional coordinates):
Si (0.0000, 0.3701, 0.8701)
Si (0.0000, 0.8701, 0.6299)
Si (0.0000, 0.6299, 0.1299)
Si (0.0000, 0.1299, 0.3701)
Hf (0.5000, 0.1718, 0.6718)
Hf (0.5000, 0.6718, 0.8282)
Hf (0.5000, 0.8282, 0.3282)
Hf (0.5000, 0.3282, 0.1718)
Pd (0.0000, 0.0000, 0.0000)
Pd (0.0000, 0.5000, 0.5000)

Summary:
Energy relative to the elements, uncorrected in eV per atom: -0.8834
Symmetry: P4/mbm
Raw total energy in eV/atom: -36.514
Magnetization in μB/cell: 0.0

***

[4]
La2Mn2N at its PBEsol-relaxed geometry. Source: the Alexandria database, functional SCAN.

Cell: 3.1895 3.1895 8.4791 Å, 100.84 100.84 90.00°
Atoms (fractional coordinates):
N (0.0000, 0.0000, 0.0000)
Mn (0.2500, 0.7500, 0.5000)
Mn (0.7500, 0.2500, 0.5000)
La (0.4105, 0.4105, 0.8209)
La (0.5895, 0.5895, 0.1791)

Summary:
Energy relative to the elements, uncorrected in eV per atom: -0.0872
Symmetry: I4/mmm
Raw total energy in eV/atom: -26.489
Magnetization in μB/cell: 0.0

***

[5]
TiTe2 at its PBEsol-relaxed geometry. Source: the Alexandria database, functional SCAN.

Cell: 3.6959 3.6959 6.4223 Å, 90.00 90.00 120.00°
Atoms (fractional coordinates):
Te (0.6667, 0.3333, 0.7683)
Te (0.3333, 0.6667, 0.2317)
Ti (0.0000, 0.0000, 0.5000)

Summary:
Energy relative to the elements, uncorrected in eV per atom: -0.7325
Symmetry: P-3m1
Raw total energy in eV/atom: -30.910
Magnetization in μB/cell: 0.0

***

[6]
RuSN2O at its PBEsol-relaxed geometry. Source: the Alexandria database, functional SCAN.

Cell: 3.6099 3.6579 3.6579 Å, 90.00 90.00 90.00°
Atoms (fractional coordinates):
Ru (0.5000, 0.5000, 0.5000)
S (0.5000, 0.0000, 0.0000)
O (0.0000, 0.0000, 0.0000)
N (0.0000, 0.0000, 0.5000)
N (0.0000, 0.5000, 0.0000)

Summary:
Energy relative to the elements, uncorrected in eV per atom: 2.1207
Symmetry: P4/mmm
Raw total energy in eV/atom: -11.733
Magnetization in μB/cell: 0.0

***

[7]
Ta2OsPt at its PBEsol-relaxed geometry. Source: the Alexandria database, functional SCAN.

Cell: 3.3221 3.3221 5.8693 Å, 90.00 90.00 90.00°
Atoms (fractional coordinates):
Os (0.0000, 0.0000, 0.4847)
Pt (0.5000, 0.5000, 0.7672)
Ta (0.0000, 0.0000, 0.9767)
Ta (0.5000, 0.5000, 0.2714)

Summary:
DFT formation energy in kcal/mol of atoms: -8.650
Symmetry: P4mm
Raw total energy in eV/atom: -69.185
Magnetization in μB/cell: 0.0

***

[8]
Ba2PW at its PBEsol-relaxed geometry. Source: the Alexandria database, functional SCAN.

Cell: 4.5064 4.9414 4.9414 Å, 89.97 90.00 90.00°
Atoms (fractional coordinates):
Ba (0.0000, 0.5000, 0.0000)
Ba (0.0000, 0.0000, 0.5000)
P (0.5000, 0.0000, 0.0000)
W (0.5000, 0.5000, 0.5000)

Summary:
DFT formation energy in kcal/mol of atoms: 18.595
Symmetry: P4/mmm
Raw total energy in eV/atom: -38.990
Magnetization in μB/cell: 3.6

***

[9]
ZrNi2Ag at its PBEsol-relaxed geometry. Source: the Alexandria database, functional SCAN.

Cell: 3.2442 3.2442 5.5382 Å, 90.00 90.00 90.00°
Atoms (fractional coordinates):
Ag (0.5000, 0.5000, 0.5000)
Ni (0.0000, 0.0000, 0.7501)
Ni (0.0000, 0.0000, 0.2499)
Zr (0.5000, 0.5000, 0.0000)

Summary:
DFT formation energy in kcal/mol of atoms: -4.048
Symmetry: P4/mmm
Raw total energy in eV/atom: -23.779
Magnetization in μB/cell: 0.0

***

[10]
SiTc2Ru at its PBEsol-relaxed geometry. Source: the Alexandria database, functional SCAN.

Cell: 2.8936 4.2649 5.0003 Å, 115.24 106.82 90.00°
Atoms (fractional coordinates):
Ru (0.5000, 0.0000, 0.0000)
Si (0.0000, 0.5000, 0.0000)
Tc (0.7291, 0.7291, 0.4582)
Tc (0.2709, 0.2709, 0.5418)

Summary:
Energy relative to the elements, uncorrected in eV per atom: -0.2993
Symmetry: Immm
Raw total energy in eV/atom: -29.040
Magnetization in μB/cell: 0.0

***

[11]
LiScPt at its PBEsol-relaxed geometry. Source: the Alexandria database, functional SCAN.

Cell: 3.3894 3.3894 4.8951 Å, 110.26 110.26 90.00°
Atoms (fractional coordinates):
Sc (0.3201, 0.3201, 0.6403)
Pt (0.6682, 0.6682, 0.3365)
Li (0.0116, 0.0116, 0.0232)

Summary:
DFT formation energy in kcal/mol of atoms: -20.475
Symmetry: I4mm
Raw total energy in eV/atom: -29.828
Magnetization in μB/cell: 0.0

***

[12]
YGaCu2H at its PBEsol-relaxed geometry. Source: the Alexandria database, functional SCAN.

Cell: 3.6412 4.6152 4.6152 Å, 90.00 90.00 90.00°
Atoms (fractional coordinates):
Y (0.5000, 0.5000, 0.5000)
H (0.5000, 0.0000, 0.0000)
Cu (0.0000, 0.0000, 0.5000)
Cu (0.0000, 0.5000, 0.0000)
Ga (0.0000, 0.0000, 0.0000)

Summary:
Symmetry: P4/mmm
Raw total energy in eV/atom: -15.495
Magnetization in μB/cell: 0.0

***

[13]
Ca2SbH2 at its PBEsol-relaxed geometry. Source: the Alexandria database, functional SCAN.

Cell: 3.7355 3.7355 7.0113 Å, 105.45 105.45 90.00°
Atoms (fractional coordinates):
Sb (0.0000, 0.0000, 0.0000)
Ca (0.3466, 0.3466, 0.6932)
Ca (0.6534, 0.6534, 0.3068)
H (0.2500, 0.7500, 0.5000)
H (0.7500, 0.2500, 0.5000)

Summary:
Symmetry: I4/mmm
Raw total energy in eV/atom: -13.537
Magnetization in μB/cell: 0.0

***

[14]
YHgBr2 at its PBEsol-relaxed geometry. Source: the Alexandria database, functional SCAN.

Cell: 4.4037 4.7156 4.7156 Å, 90.00 90.00 90.00°
Atoms (fractional coordinates):
Y (0.5000, 0.0000, 0.0000)
Hg (0.5000, 0.5000, 0.5000)
Br (0.0000, 0.0000, 0.5000)
Br (0.0000, 0.5000, 0.0000)

Summary:
Energy relative to the elements, uncorrected in eV per atom: -0.8874
E above lowest polymorph in meV/atom: 66.6
Symmetry: P4/mmm
Raw total energy in eV/atom: -34.619
Magnetization in μB/cell: 0.0

***

[15]
LaOs2Rh at its PBEsol-relaxed geometry. Source: the Alexandria database, functional SCAN.

Cell: 4.5837 4.5837 4.5837 Å, 60.00 60.00 60.00°
Atoms (fractional coordinates):
La (0.0000, 0.0000, 0.0000)
Os (0.7500, 0.7500, 0.7500)
Os (0.2500, 0.2500, 0.2500)
Rh (0.5000, 0.5000, 0.5000)

Summary:
E above lowest polymorph in meV/atom: 676.3
DFT formation energy in kcal/mol of atoms: 19.505
Symmetry: Fm-3m
Raw total energy in eV/atom: -54.313
Magnetization in μB/cell: 0.0

***

[16]
CoPb2Au at its PBEsol-relaxed geometry. Source: the Alexandria database, functional SCAN.

Cell: 4.3112 5.0355 5.0149 Å, 120.14 115.46 90.00°
Atoms (fractional coordinates):
Pb (0.7348, 0.7348, 0.4696)
Pb (0.2652, 0.2652, 0.5304)
Co (0.0000, 0.5000, 0.0000)
Au (0.5000, 0.0000, 0.0000)

Summary:
E above lowest polymorph in meV/atom: 0.0
DFT formation energy in kcal/mol of atoms: 8.653
Symmetry: Immm
Raw total energy in eV/atom: -59.131
Magnetization in μB/cell: 1.9

***

[17]
SrCaBeGe2 at its PBEsol-relaxed geometry. Source: the Alexandria database, functional SCAN.

Cell: 5.1973 5.4234 5.4234 Å, 90.00 90.00 90.00°
Atoms (fractional coordinates):
Sr (0.0000, 0.0000, 0.0000)
Ge (0.0000, 0.0000, 0.5000)
Ge (0.0000, 0.5000, 0.0000)
Ca (0.5000, 0.5000, 0.5000)
Be (0.5000, 0.0000, 0.0000)

Summary:
DFT formation energy in kcal/mol of atoms: 22.815
Symmetry: P4/mmm
Raw total energy in eV/atom: -13.904
Magnetization in μB/cell: 0.0

***

[18]
Mn2SiAs at its PBEsol-relaxed geometry. Source: the Alexandria database, functional SCAN.

Cell: 3.4753 3.4753 4.7518 Å, 111.45 111.45 90.00°
Atoms (fractional coordinates):
As (0.2500, 0.7500, 0.5000)
Mn (0.0000, 0.0000, 0.0000)
Mn (0.7500, 0.2500, 0.5000)
Si (0.5000, 0.5000, 0.0000)

Summary:
Energy relative to the elements, uncorrected in eV per atom: -0.1071
Symmetry: I-4m2
Raw total energy in eV/atom: -16.786
Magnetization in μB/cell: 5.7

***

[19]
Mg4ZrPb at its PBEsol-relaxed geometry. Source: the Alexandria database, functional SCAN.

Cell: 5.7967 5.7967 5.7967 Å, 60.00 60.00 60.00°
Atoms (fractional coordinates):
Mg (0.3743, 0.3743, 0.3743)
Mg (0.3743, 0.3743, 0.8771)
Mg (0.8771, 0.3743, 0.3743)
Mg (0.3743, 0.8771, 0.3743)
Pb (0.7500, 0.7500, 0.7500)
Zr (0.0000, 0.0000, 0.0000)

Summary:
DFT formation energy in kcal/mol of atoms: 3.149
Symmetry: F-43m
Raw total energy in eV/atom: -20.926
Magnetization in μB/cell: 2.9

***

[20]
LaZr2P at its PBEsol-relaxed geometry. Source: the Alexandria database, functional SCAN.

Cell: 4.0171 4.4727 4.4727 Å, 90.00 90.00 90.00°
Atoms (fractional coordinates):
La (0.5000, 0.5000, 0.5000)
P (0.5000, 0.0000, 0.0000)
Zr (0.0000, 0.0000, 0.5000)
Zr (0.0000, 0.5000, 0.0000)

Summary:
DFT formation energy in kcal/mol of atoms: -7.960
Symmetry: P4/mmm
Raw total energy in eV/atom: -29.071
Magnetization in μB/cell: 0.0